Entry 1:
# Pr2Cu3Pd2, optimized geometry, DFT GGA-PBE
# Fermi-level density of states in states/eV/atom: 0.4526
# Energy of formation in eV/atom: -0.4322
data_Pr2Cu3Pd2
_symmetry_space_group_name_H-M 'P 1'
_symmetry_Int_Tables_number 1
_cell_length_a 5.4912
_cell_length_b 5.4912
_cell_length_c 6.5508
_cell_angle_alpha 109.15
_cell_angle_beta 109.15
_cell_angle_gamma 47.32
loop_
_symmetry_equiv_pos_as_xyz
'x,y,z'
loop_
_atom_site_label
_atom_site_type_symbol
_atom_site_fract_x
_atom_site_fract_y
_atom_site_fract_z
Pr1 Pr 0.1522 0.1522 0.2464
Pr2 Pr 0.8478 0.8478 0.7536
Cu1 Cu 0.4038 0.4038 0.0848
Cu2 Cu 0.5000 0.5000 0.5000
Cu3 Cu 0.5962 0.5962 0.9152
Pd1 Pd 0.1323 0.1323 0.7082
Pd2 Pd 0.8677 0.8677 0.2918

***

Entry 2:
# PrCu2Pd, optimized geometry, DFT GGA-PBE
# Energy above the lowest structure with this stoichiometry in eV/atom: 0.0750
# Fermi-level density of states in states/eV/atom: 0.6788
# Energy of formation in eV/atom: -0.3044
data_PrCu2Pd
_symmetry_space_group_name_H-M 'P 1'
_symmetry_Int_Tables_number 1
_cell_length_a 5.3423
_cell_length_b 5.3423
_cell_length_c 5.3423
_cell_angle_alpha 48.12
_cell_angle_beta 48.12
_cell_angle_gamma 48.12
loop_
_symmetry_equiv_pos_as_xyz
'x,y,z'
loop_
_atom_site_label
_atom_site_type_symbol
_atom_site_fract_x
_atom_site_fract_y
_atom_site_fract_z
Pr1 Pr 0.0000 0.0000 0.0000
Cu1 Cu 0.2059 0.2059 0.2059
Cu2 Cu 0.7941 0.7941 0.7941
Pd1 Pd 0.5000 0.5000 0.5000

***

Entry 3:
# Pr2CuPd, optimized geometry, DFT GGA-PBE
# Fermi-level density of states in states/eV/atom: 0.8146
# Energy of formation in eV/atom: 0.1738
data_Pr2CuPd
_symmetry_space_group_name_H-M 'P 1'
_symmetry_Int_Tables_number 1
_cell_length_a 10.2233
_cell_length_b 10.2233
_cell_length_c 10.2233
_cell_angle_alpha 19.33
_cell_angle_beta 19.33
_cell_angle_gamma 19.33
loop_
_symmetry_equiv_pos_as_xyz
'x,y,z'
loop_
_atom_site_label
_atom_site_type_symbol
_atom_site_fract_x
_atom_site_fract_y
_atom_site_fract_z
Pr1 Pr 0.0910 0.0910 0.0910
Pr2 Pr 0.9090 0.9090 0.9090
Cu1 Cu 0.5000 0.5000 0.5000
Pd1 Pd 0.0000 0.0000 0.0000

***

Entry 4:
# PrCu4Pd8, optimized geometry, DFT GGA-PBE
# Fermi-level density of states in states/eV/atom: 0.8584
# Energy of formation in eV/atom: -0.3139
data_PrCu4Pd8
_symmetry_space_group_name_H-M 'P 1'
_symmetry_Int_Tables_number 1
_cell_length_a 6.8408
_cell_length_b 6.8408
_cell_length_c 6.8408
_cell_angle_alpha 97.77
_cell_angle_beta 97.77
_cell_angle_gamma 136.85
loop_
_symmetry_equiv_pos_as_xyz
'x,y,z'
loop_
_atom_site_label
_atom_site_type_symbol
_atom_site_fract_x
_atom_site_fract_y
_atom_site_fract_z
Pr1 Pr 0.0000 0.0000 0.0000
Cu1 Cu 0.0000 0.0000 0.5000
Cu2 Cu 0.0000 0.5000 0.0000
Cu3 Cu 0.5000 0.0000 0.0000
Cu4 Cu 0.5000 0.5000 0.5000
Pd1 Pd 0.0000 0.3489 0.3489
Pd2 Pd 0.0000 0.6511 0.6511
Pd3 Pd 0.2804 0.5000 0.7804
Pd4 Pd 0.3489 0.0000 0.3489
Pd5 Pd 0.5000 0.2804 0.7804
Pd6 Pd 0.5000 0.7196 0.2196
Pd7 Pd 0.6511 0.0000 0.6511
Pd8 Pd 0.7196 0.5000 0.2196

***

Entry 5:
# Pr4Cu3Pd, optimized geometry, DFT GGA-PBE
# Fermi-level density of states in states/eV/atom: 0.8372
# Energy of formation in eV/atom: -0.3171
data_Pr4Cu3Pd
_symmetry_space_group_name_H-M 'P 1'
_symmetry_Int_Tables_number 1
_cell_length_a 3.9652
_cell_length_b 4.5666
_cell_length_c 10.8889
_cell_angle_alpha 90.00
_cell_angle_beta 90.00
_cell_angle_gamma 90.00
loop_
_symmetry_equiv_pos_as_xyz
'x,y,z'
loop_
_atom_site_label
_atom_site_type_symbol
_atom_site_fract_x
_atom_site_fract_y
_atom_site_fract_z
Pr1 Pr 0.0000 0.0000 0.0000
Pr2 Pr 0.0000 0.5000 0.2797
Pr3 Pr 0.5000 0.0000 0.4984
Pr4 Pr 0.5000 0.5000 0.7788
Cu1 Cu 0.0000 0.5000 0.5670
Cu2 Cu 0.5000 0.0000 0.2048
Cu3 Cu 0.5000 0.5000 0.0723
Pd1 Pd 0.0000 0.0000 0.7123

***

Entry 6:
# Pr2Cu2Pd15, optimized geometry, DFT GGA-PBE
# Fermi-level density of states in states/eV/atom: 1.0478
# Energy of formation in eV/atom: -0.3008
data_Pr2Cu2Pd15
_symmetry_space_group_name_H-M 'P 1'
_symmetry_Int_Tables_number 1
_cell_length_a 6.9755
_cell_length_b 6.9755
_cell_length_c 6.9755
_cell_angle_alpha 81.90
_cell_angle_beta 81.90
_cell_angle_gamma 81.90
loop_
_symmetry_equiv_pos_as_xyz
'x,y,z'
loop_
_atom_site_label
_atom_site_type_symbol
_atom_site_fract_x
_atom_site_fract_y
_atom_site_fract_z
Pr1 Pr 0.1637 0.1637 0.1637
Pr2 Pr 0.8363 0.8363 0.8363
Cu1 Cu 0.4077 0.4077 0.4077
Cu2 Cu 0.5923 0.5923 0.5923
Pd1 Pd 0.0000 0.5000 0.5000
Pd2 Pd 0.1543 0.1543 0.6549
Pd3 Pd 0.1543 0.6549 0.1543
Pd4 Pd 0.1978 0.5000 0.8022
Pd5 Pd 0.1978 0.8022 0.5000
Pd6 Pd 0.3451 0.8457 0.8457
Pd7 Pd 0.5000 0.0000 0.5000
Pd8 Pd 0.5000 0.1978 0.8022
Pd9 Pd 0.5000 0.5000 0.0000
Pd10 Pd 0.5000 0.8022 0.1978
Pd11 Pd 0.6549 0.1543 0.1543
Pd12 Pd 0.8022 0.1978 0.5000
Pd13 Pd 0.8022 0.5000 0.1978
Pd14 Pd 0.8457 0.3451 0.8457
Pd15 Pd 0.8457 0.8457 0.3451

***

Entry 7:
# Pr2Cu3Pd, optimized geometry, DFT GGA-PBE
# Energy above the lowest structure with this stoichiometry in eV/atom: 0.0063
# Fermi-level density of states in states/eV/atom: 0.8227
# Energy of formation in eV/atom: -0.3636
data_Pr2Cu3Pd
_symmetry_space_group_name_H-M 'P 1'
_symmetry_Int_Tables_number 1
_cell_length_a 3.8255
_cell_length_b 4.3204
_cell_length_c 7.5880
_cell_angle_alpha 90.00
_cell_angle_beta 90.00
_cell_angle_gamma 90.00
loop_
_symmetry_equiv_pos_as_xyz
'x,y,z'
loop_
_atom_site_label
_atom_site_type_symbol
_atom_site_fract_x
_atom_site_fract_y
_atom_site_fract_z
Pr1 Pr 0.0000 0.0000 0.0000
Pr2 Pr 0.0000 0.5000 0.4955
Cu1 Cu 0.5000 0.0000 0.6741
Cu2 Cu 0.5000 0.5000 0.1522
Cu3 Cu 0.5000 0.5000 0.8290
Pd1 Pd 0.5000 0.0000 0.3346

***

Entry 8:
# Pr2CuPd2, optimized geometry, DFT GGA-PBE
# Fermi-level density of states in states/eV/atom: 0.6613
# Energy of formation in eV/atom: -0.6057
data_Pr2CuPd2
_symmetry_space_group_name_H-M 'P 1'
_symmetry_Int_Tables_number 1
_cell_length_a 5.8455
_cell_length_b 5.8455
_cell_length_c 11.0834
_cell_angle_alpha 115.41
_cell_angle_beta 115.41
_cell_angle_gamma 42.69
loop_
_symmetry_equiv_pos_as_xyz
'x,y,z'
loop_
_atom_site_label
_atom_site_type_symbol
_atom_site_fract_x
_atom_site_fract_y
_atom_site_fract_z
Pr1 Pr 0.0227 0.0227 0.3449
Pr2 Pr 0.1883 0.1883 0.1116
Pr3 Pr 0.8117 0.8117 0.8884
Pr4 Pr 0.9773 0.9773 0.6551
Cu1 Cu 0.2836 0.2836 0.6651
Cu2 Cu 0.7164 0.7164 0.3349
Pd1 Pd 0.3563 0.3563 0.4320
Pd2 Pd 0.4698 0.4698 0.1137
Pd3 Pd 0.5302 0.5302 0.8863
Pd4 Pd 0.6437 0.6437 0.5680

***

no.,spin magnetization (μB per formula unit)
1,0.0
2,0.0
3,0.0
4,0.0
5,0.0
6,0.0
7,0.0
8,0.0